[1]
# Pm4TlI5 | the Alexandria database | GGA-PBE | optimized geometry
# D(E_F) (states/eV per atom): 0.57
# Spin magnetization (μB/cell): 0.0
# Volume (A^3/atom): 38.41
# E_form (uncorrected) (eV/atom): -1.0471
data_Pm4TlI5
_chemical_formula_sum 'Pm4 Tl1 I5'
_cell_length_a 4.409
_cell_length_b 9.149
_cell_length_c 9.966
_cell_angle_alpha 101.21
_cell_angle_beta 102.78
_cell_angle_gamma 90.00
_space_group_name_H-M_alt 'P 1'
_space_group_IT_number 1
loop_
_space_group_symop_operation_xyz
'x,y,z'
loop_
_atom_site_label
_atom_site_type_symbol
_atom_site_fract_x
_atom_site_fract_y
_atom_site_fract_z
_atom_site_occupancy
I1 I 0.170 0.819 0.340 1
I2 I 0.500 0.500 0.000 1
Tl1 Tl 0.500 0.000 0.000 1
Pm1 Pm 0.002 0.231 0.003 1
I3 I 0.168 0.328 0.337 1
Pm2 Pm 0.998 0.769 0.997 1
I4 I 0.830 0.181 0.660 1
Pm3 Pm 0.659 0.070 0.317 1
I5 I 0.832 0.672 0.663 1
Pm4 Pm 0.341 0.930 0.683 1

=====

[2]
# CaCe2P3 | the Alexandria database | GGA-PBE | optimized geometry
# D(E_F) (states/eV per atom): 1.24
# Spin magnetization (μB/cell): 0.9
# DFT formation energy (eV per atom): -1.37
# Volume (A^3/atom): 24.62
data_CaCe2P3
_chemical_formula_sum 'Ca1 Ce2 P3'
_cell_length_a 4.125
_cell_length_b 4.125
_cell_length_c 10.023
_cell_angle_alpha 90.00
_cell_angle_beta 90.00
_cell_angle_gamma 120.00
_space_group_name_H-M_alt 'P 1'
_space_group_IT_number 1
loop_
_space_group_symop_operation_xyz
'x,y,z'
loop_
_atom_site_label
_atom_site_type_symbol
_atom_site_fract_x
_atom_site_fract_y
_atom_site_fract_z
_atom_site_occupancy
P1 P 0.000 0.000 0.500 1
Ce1 Ce 0.667 0.333 0.330 1
Ca1 Ca 0.000 0.000 0.000 1
P2 P 0.333 0.667 0.177 1
P3 P 0.667 0.333 0.823 1
Ce2 Ce 0.333 0.667 0.670 1

=====

[3]
# Er4Re | the Alexandria database | GGA-PBE | optimized geometry
# D(E_F) (states/eV per atom): 1.24
# Spin magnetization (μB/cell): 0.0
# DFT formation energy (eV per atom): 0.28
# Volume (A^3/atom): 31.21
data_Er4Re
_chemical_formula_sum 'Er4 Re1'
_cell_length_a 5.384
_cell_length_b 5.384
_cell_length_c 5.384
_cell_angle_alpha 90.00
_cell_angle_beta 90.00
_cell_angle_gamma 90.00
_space_group_name_H-M_alt 'P 1'
_space_group_IT_number 1
loop_
_space_group_symop_operation_xyz
'x,y,z'
loop_
_atom_site_label
_atom_site_type_symbol
_atom_site_fract_x
_atom_site_fract_y
_atom_site_fract_z
_atom_site_occupancy
Er1 Er 0.000 0.500 0.500 1
Er2 Er 0.500 0.500 0.000 1
Re1 Re 0.500 0.500 0.500 1
Er3 Er 0.000 0.000 0.000 1
Er4 Er 0.500 0.000 0.500 1

=====

[4]
# HgOs2Pt | the Alexandria database | GGA-PBE | optimized geometry
# D(E_F) (states/eV per atom): 0.85
# Spin magnetization (μB/cell): 0.0
# DFT formation energy (eV per atom): 0.66
# Volume (A^3/atom): 16.88
data_HgOs2Pt
_chemical_formula_sum 'Hg1 Os2 Pt1'
_cell_length_a 5.827
_cell_length_b 5.827
_cell_length_c 5.827
_cell_angle_alpha 152.53
_cell_angle_beta 131.91
_cell_angle_gamma 56.28
_space_group_name_H-M_alt 'P 1'
_space_group_IT_number 1
loop_
_space_group_symop_operation_xyz
'x,y,z'
loop_
_atom_site_label
_atom_site_type_symbol
_atom_site_fract_x
_atom_site_fract_y
_atom_site_fract_z
_atom_site_occupancy
Os1 Os 0.974 0.974 0.000 1
Pt1 Pt 0.520 0.520 0.000 1
Os2 Os 0.770 0.270 0.500 1
Hg1 Hg 0.235 0.735 0.500 1

=====

[5]
# BeTlInTe2 | the Alexandria database | GGA-PBE | optimized geometry
# D(E_F) (states/eV per atom): 0.42
# Spin magnetization (μB/cell): 0.0
# Volume (A^3/atom): 39.83
# E_form (uncorrected) (eV/atom): 0.8200
data_BeTlInTe2
_chemical_formula_sum 'Be1 Tl1 In1 Te2'
_cell_length_a 5.686
_cell_length_b 6.160
_cell_length_c 5.686
_cell_angle_alpha 90.00
_cell_angle_beta 90.00
_cell_angle_gamma 90.00
_space_group_name_H-M_alt 'P 1'
_space_group_IT_number 1
loop_
_space_group_symop_operation_xyz
'x,y,z'
loop_
_atom_site_label
_atom_site_type_symbol
_atom_site_fract_x
_atom_site_fract_y
_atom_site_fract_z
_atom_site_occupancy
Tl1 Tl 0.000 0.500 0.000 1
In1 In 0.000 0.000 0.000 1
Te1 Te 0.500 0.000 0.000 1
Be1 Be 0.500 0.500 0.500 1
Te2 Te 0.000 0.000 0.500 1

=====

[6]
# CaPtW2 | the Alexandria database | GGA-PBE | optimized geometry
# D(E_F) (states/eV per atom): 0.79
# Spin magnetization (μB/cell): 0.0
# Energy above the lowest structure with this stoichiometry (meV/atom): 167
# DFT formation energy (eV per atom): 0.34
# Volume (A^3/atom): 18.49
data_CaPtW2
_chemical_formula_sum 'Ca1 Pt1 W2'
_cell_length_a 5.248
_cell_length_b 5.248
_cell_length_c 5.611
_cell_angle_alpha 70.98
_cell_angle_beta 70.98
_cell_angle_gamma 30.55
_space_group_name_H-M_alt 'P 1'
_space_group_IT_number 1
loop_
_space_group_symop_operation_xyz
'x,y,z'
loop_
_atom_site_label
_atom_site_type_symbol
_atom_site_fract_x
_atom_site_fract_y
_atom_site_fract_z
_atom_site_occupancy
Pt1 Pt 0.281 0.281 0.345 1
W1 W 0.961 0.961 0.940 1
W2 W 0.728 0.728 0.802 1
Ca1 Ca 0.530 0.530 0.414 1

=====

[7]
# CsTiN2 | the Alexandria database | GGA-PBE | optimized geometry
# D(E_F) (states/eV per atom): 0.61
# Spin magnetization (μB/cell): 0.3
# Volume (A^3/atom): 16.97
# E_form (uncorrected) (eV/atom): -0.0608
data_CsTiN2
_chemical_formula_sum 'Cs1 Ti1 N2'
_cell_length_a 7.553
_cell_length_b 7.553
_cell_length_c 7.553
_cell_angle_alpha 25.03
_cell_angle_beta 25.03
_cell_angle_gamma 25.03
_space_group_name_H-M_alt 'P 1'
_space_group_IT_number 1
loop_
_space_group_symop_operation_xyz
'x,y,z'
loop_
_atom_site_label
_atom_site_type_symbol
_atom_site_fract_x
_atom_site_fract_y
_atom_site_fract_z
_atom_site_occupancy
N1 N 0.877 0.877 0.877 1
Ti1 Ti 0.500 0.500 0.500 1
Cs1 Cs 0.000 0.000 0.000 1
N2 N 0.123 0.123 0.123 1

=====

[8]
# La5Tb2Tl4 | the Alexandria database | GGA-PBE | optimized geometry
# D(E_F) (states/eV per atom): 1.39
# Spin magnetization (μB/cell): 0.0
# Energy above the lowest structure with this stoichiometry (meV/atom): 270
# DFT formation energy (eV per atom): 0.03
# Volume (A^3/atom): 34.21
data_La5Tb2Tl4
_chemical_formula_sum 'La5 Tb2 Tl4'
_cell_length_a 3.639
_cell_length_b 10.918
_cell_length_c 11.084
_cell_angle_alpha 119.51
_cell_angle_beta 99.45
_cell_angle_gamma 90.00
_space_group_name_H-M_alt 'P 1'
_space_group_IT_number 1
loop_
_space_group_symop_operation_xyz
'x,y,z'
loop_
_atom_site_label
_atom_site_type_symbol
_atom_site_fract_x
_atom_site_fract_y
_atom_site_fract_z
_atom_site_occupancy
Tl1 Tl 0.578 0.578 0.155 1
Tb1 Tb 0.173 0.173 0.346 1
La1 La 0.814 0.487 0.628 1
La2 La 0.186 0.513 0.372 1
Tl2 Tl 0.000 0.738 0.000 1
Tl3 Tl 0.000 0.262 0.000 1
La3 La 0.500 0.000 0.000 1
La4 La 0.814 0.140 0.628 1
Tl4 Tl 0.422 0.422 0.845 1
La5 La 0.186 0.860 0.372 1
Tb2 Tb 0.827 0.827 0.654 1